BaNiPdO4 | GGA+U | relaxed

E = -5.376 eV per atom

Cell: 6.7086 6.7086 6.7086 Å, 123.10 123.00 84.79°
With the nearest neighbours (Å) after each atom.
Positions (direct):
1 Ba 0.3847 0.1347 0.2500  4 O 2.41-2.48
2 Ba 0.6153 0.8653 0.7500  4 O 2.41-2.48
3 Ni 0.0000 0.0000 0.5000  6 O 2.14-2.26
4 Ni 0.0000 0.5000 0.0000  6 O 2.14-2.26
5 Pd 0.0000 0.5000 0.5000  6 O 2.07-2.08
6 Pd 0.5000 0.5000 0.0000  6 O 2.07-2.08
7 O 0.1705 0.7081 0.4624  1 Pd 2.08, 2 Ni 2.14
8 O 0.2254 0.2743 0.5488  2 Pd 2.07, 1 Ni 2.26
9 O 0.2254 0.6766 0.9512  2 Pd 2.07, 1 Ni 2.26
10 O 0.2543 0.2919 0.9624  1 Pd 2.08, 2 Ni 2.14
11 O 0.7457 0.7081 0.0376  1 Pd 2.08, 2 Ni 2.14
12 O 0.7746 0.3234 0.0488  2 Pd 2.07, 1 Ni 2.26
13 O 0.7746 0.7257 0.4512  2 Pd 2.07, 1 Ni 2.26
14 O 0.8295 0.2919 0.5376  1 Pd 2.08, 2 Ni 2.14